Here is a geometry-optimized TeAsH3 structure from Alexandria via LeMat-Bulk. Energies are from GGA-PBE.

Energy relative to the lowest polymorph listed for this composition   0.0 meV per atom
DOS at the Fermi energy   0.56 states/eV per atom

Cell lengths 3.864, 3.864, 3.864 Å; angles 90.00, 90.00, 90.00 degrees
Space group Pm-3m (No. 221)
Inequivalent atoms, fractional coordinates:
Te: 0.000 0.000 0.000
As: 0.500 0.500 0.500
H: 0.000 0.500 0.500



Here is a geometry-optimized AlZn4Ag7 structure from Alexandria via LeMat-Bulk. Energies are from GGA-PBE.

Energy relative to the lowest polymorph listed for this composition   0.0 meV per atom
DOS at the Fermi energy   0.22 states/eV per atom
Formation energy from the elements   -31 meV/atom

Cell lengths 4.200, 4.762, 11.189 Å; angles 80.40, 89.81, 64.36 degrees
Space group P-1 (No. 2)
Inequivalent atoms, fractional coordinates:
Al: 0.000 0.000 0.000
Zn: 0.337 0.332 0.829
Zn: 0.339 0.321 0.589
Ag: 0.000 0.000 0.500
Ag: 0.005 0.994 0.760
Ag: 0.328 0.341 0.080
Ag: 0.329 0.343 0.342



Here is a geometry-optimized RbMgCd2Hg8 structure from Alexandria via LeMat-Bulk. Energies are from GGA-PBE.

DOS at the Fermi energy   0.30 states/eV per atom
Formation energy from the elements   -80 meV/atom

Cell lengths 10.374, 6.872, 10.744 Å; angles 90.00, 118.39, 90.00 degrees
Space group C2/m (No. 12)
Inequivalent atoms, fractional coordinates:
Rb: 0.000 0.000 0.000
Mg: 0.000 0.500 0.500
Cd: 0.128 0.500 0.291
Hg: 0.130 0.231 0.732
Hg: 0.152 0.500 0.996
Hg: 0.170 0.000 0.397



Here is a geometry-optimized ZrPaMoOs structure from Alexandria via LeMat-Bulk. Energies are from GGA-PBE.

DOS at the Fermi energy   0.82 states/eV per atom
Formation energy from the elements   -192 meV/atom

Cell lengths 6.768, 6.768, 6.768 Å; angles 90.00, 90.00, 90.00 degrees
Space group F-43m (No. 216)
Inequivalent atoms, fractional coordinates:
Zr: 0.000 0.000 0.000
Pa: 0.000 0.000 0.500
Mo: 0.250 0.250 0.250
Os: 0.250 0.250 0.750



Here is a geometry-optimized YTmPa structure from Alexandria via LeMat-Bulk. Energies are from GGA-PBE.

Energy relative to the lowest polymorph listed for this composition   242.0 meV per atom
DOS at the Fermi energy   2.00 states/eV per atom
Formation energy from the elements   362 meV/atom

Cell lengths 6.359, 3.227, 8.502 Å; angles 90.00, 90.00, 90.00 degrees
Space group Pmma (No. 51)
Inequivalent atoms, fractional coordinates:
Y: 0.250 0.000 0.128
Tm: 0.000 0.000 0.500
Pa: 0.250 0.500 0.796



Here is a geometry-optimized Nd6Sm3Tm structure from Alexandria via LeMat-Bulk. Energies are from GGA-PBE.

Energy relative to the lowest polymorph listed for this composition   0.0 meV per atom
DOS at the Fermi energy   1.31 states/eV per atom
Formation energy from the elements   136 meV/atom

Cell lengths 10.996, 19.366, 6.491 Å; angles 90.00, 90.00, 90.00 degrees
Space group Cmc2_1 (No. 36)
Inequivalent atoms, fractional coordinates:
Nd: 0.000 0.035 0.000
Nd: 0.000 0.278 0.783
Nd: 0.170 0.458 0.685
Nd: 0.232 0.291 0.494
Sm: 0.000 0.385 0.210
Sm: 0.172 0.116 0.594
Tm: 0.000 0.193 0.244